FePbSCl2: optimized geometry, PBE. Values from VASP.

Computed properties:
Formation energy (no corrections) (eV/atom): -0.424
E (eV per atom): -4.4219

```
&SYSTEM
  ibrav = 0, nat = 5, ntyp = 4
/
ATOMIC_SPECIES
Fe 55.84 Fe.upf
Pb 207.20 Pb.upf
S 32.06 S.upf
Cl 35.45 Cl.upf
ATOMIC_POSITIONS crystal
Fe 0.0000 0.0000 0.0000
Pb 0.5000 0.5000 0.5000
S 0.0000 0.0000 0.5000
Cl 0.0000 0.5000 0.0000
Cl 0.5000 0.0000 0.0000
CELL_PARAMETERS angstrom
4.7873 0.0000 0.0000
0.0000 4.7873 0.0000
0.0000 0.0000 4.7731
```